# 1
Here is crystalline CaBMoAs2 at its relaxed geometry from Alexandria via LeMat-Bulk. Energies are from GGA-PBE.

The structure belongs to space group P4/mmm (No. 123); the cell edges are 5.0697, 5.0697 and 4.2345 Å and the angles 90.00°, 90.00° and 90.00°. The asymmetric unit holds Ca at (0.0000, 0.0000, 0.0000), B at (0.0000, 0.0000, 0.5000), Mo at (0.5000, 0.5000, 0.5000) and As at (0.0000, 0.5000, 0.0000).

The value obtained for the theoretical density is 4.526 g/cm3. The formation energy comes out at 2.0455 eV per atom. The magnetization is 0.00 μB/cell. The total energy is -3.72 eV per atom.

# 2
Here is crystalline PrGdHf at its relaxed geometry from Alexandria via LeMat-Bulk. Energies are from GGA-PBE.

The structure belongs to space group I4mm (No. 107); the cell edges are 3.3836, 3.3836 and 15.4679 Å and the angles 90.00°, 90.00° and 90.00°. The asymmetric unit holds Pr at (0.0000, 0.0000, 0.0000), Gd at (0.0000, 0.0000, 0.3062) and Hf at (0.0000, 0.0000, 0.6590).

The value obtained for the theoretical density is 8.939 g/cm3. The formation energy comes out at 0.1588 eV per atom. The magnetization is 14.62 μB/cell. The total energy is -9.45 eV per atom.

# 3
Here is crystalline Tl2Cr2SbS6 at its relaxed geometry from Alexandria via LeMat-Bulk. Energies are from GGA-PBE.

The structure belongs to space group C2/m (No. 12); the cell edges are 6.3343, 10.9953 and 7.6979 Å and the angles 90.00°, 104.53° and 90.00°. The asymmetric unit holds Tl at (0.0000, 0.1600, 0.0000), Cr at (0.0000, 0.3330, 0.5000), Sb at (0.0000, 0.0000, 0.5000), S at (0.1925, 0.5000, 0.6765) and S at (0.2335, 0.1796, 0.6770).

The value obtained for the theoretical density is 5.292 g/cm3. The magnetization is 9.98 μB/cell. The total energy is -5.33 eV per atom.

# 4
Here is crystalline BeNbIr at its relaxed geometry from Alexandria via LeMat-Bulk. Energies are from GGA-PBE.

The structure belongs to space group P-6m2 (No. 187); the cell edges are 4.1329, 4.1329 and 2.8533 Å and the angles 90.00°, 90.00° and 120.00°. The asymmetric unit holds Be at (0.0000, 0.0000, 0.0000), Nb at (0.6667, 0.3333, 0.5000) and Ir at (0.3333, 0.6667, 0.0000).

The value obtained for the theoretical density is 11.572 g/cm3. The formation energy comes out at -0.4442 eV per atom. The magnetization is 0.00 μB/cell. The total energy is -8.00 eV per atom.

What did the second record say?
Here is crystalline PrGdHf at its relaxed geometry from Alexandria via LeMat-Bulk. Energies are from GGA-PBE.

The structure belongs to space group I4mm (No. 107); the cell edges are 3.3836, 3.3836 and 15.4679 Å and the angles 90.00°, 90.00° and 90.00°. The asymmetric unit holds Pr at (0.0000, 0.0000, 0.0000), Gd at (0.0000, 0.0000, 0.3062) and Hf at (0.0000, 0.0000, 0.6590).

The value obtained for the theoretical density is 8.939 g/cm3. The formation energy comes out at 0.1588 eV per atom. The magnetization is 14.62 μB/cell. The total energy is -9.45 eV per atom.